[1]
## CsNdS2 (GGA-PBE)

Data for a geometry-optimized CsNdS2 structure.

## Properties
total DFT energy (no corrections)	-5.26	eV/atom
energy relative to the elements, uncorrected	-1.7906	eV/atom
offset from the most stable computed form	0.020	eV per atom
space-group type	R3m (160)

Cell lengths 8.550, 8.550, 8.550 Å; angles 28.68, 28.68, 28.68 degrees
Fractional positions:
Cs (0.000, 0.000, 0.000)
Nd (0.169, 0.169, 0.169)
S (0.565, 0.565, 0.565)
S (0.774, 0.774, 0.774)


[2]
## NiMo2HPd (GGA-PBE)

Data for a geometry-optimized NiMo2HPd structure.

## Properties
total DFT energy (no corrections)	-7.13	eV/atom
offset from the most stable computed form	0.000	eV per atom
space-group type	P4/mmm (123)

Cell lengths 3.891, 3.891, 3.969 Å; angles 90.00, 90.00, 90.00 degrees
Fractional positions:
Ni (0.000, 0.000, 0.000)
Mo (0.000, 0.500, 0.500)
Mo (0.500, 0.000, 0.500)
H (0.000, 0.000, 0.500)
Pd (0.500, 0.500, 0.000)


[3]
## CuRhAu2 (GGA-PBE)

Data for a geometry-optimized CuRhAu2 structure.

## Properties
total DFT energy (no corrections)	-4.44	eV/atom
offset from the most stable computed form	0.000	eV per atom
space-group type	Cmmm (65)
formation energy from the elements	0.3	eV/f.u.

Cell lengths 4.836, 4.836, 2.802 Å; angles 90.00, 90.00, 106.84 degrees
Fractional positions:
Cu (0.000, 0.000, 0.000)
Rh (0.500, 0.500, 0.000)
Au (0.000, 0.500, 0.500)
Au (0.500, 0.000, 0.500)


[4]
## CaYCr2 (GGA-PBE)

Data for a geometry-optimized CaYCr2 structure.

## Properties
total DFT energy (no corrections)	-6.28	eV/atom
space-group type	Cm (8)
formation energy from the elements	2.6	eV/f.u.

Cell lengths 5.971, 5.971, 5.327 Å; angles 107.43, 107.43, 32.57 degrees
Fractional positions:
Ca (0.000, 0.000, 0.000)
Y (0.796, 0.796, 0.358)
Cr (0.243, 0.243, 0.818)
Cr (0.543, 0.543, 0.526)


[5]
## Cs2OsO6 (GGA-PBE)

Data for a geometry-optimized Cs2OsO6 structure.

## Properties
total DFT energy (no corrections)	-5.66	eV/atom
energy relative to the elements, uncorrected	-0.9203	eV/atom
offset from the most stable computed form	0.000	eV per atom
space-group type	Fm-3m (225)

Cell lengths 6.620, 6.620, 6.620 Å; angles 60.00, 60.00, 60.00 degrees
Fractional positions:
Cs (0.250, 0.250, 0.250)
Cs (0.750, 0.750, 0.750)
Os (0.000, 0.000, 0.000)
O (0.199, 0.199, 0.801)
O (0.199, 0.801, 0.199)
O (0.199, 0.801, 0.801)
O (0.801, 0.199, 0.199)
O (0.801, 0.199, 0.801)
O (0.801, 0.801, 0.199)


[6]
## LiOsRh2 (GGA-PBE)

Data for a geometry-optimized LiOsRh2 structure.

## Properties
total DFT energy (no corrections)	-6.91	eV/atom
offset from the most stable computed form	0.067	eV per atom
space-group type	R-3m (166)
formation energy from the elements	0.2	eV/f.u.

Cell lengths 8.850, 8.850, 8.850 Å; angles 17.83, 17.83, 17.83 degrees
Fractional positions:
Li (0.000, 0.000, 0.000)
Os (0.500, 0.500, 0.500)
Rh (0.249, 0.249, 0.249)
Rh (0.751, 0.751, 0.751)